Entry 1:
# PBEsol Fe2SbPt, relaxed
# E_tot = -7.329 eV/atom
# space group = I-4m2
data_Fe2SbPt
_symmetry_space_group_name_H-M 'P 1'
_symmetry_Int_Tables_number 1
_symmetry_space_group_name_Hall 'P 1'
_cell_length_a 3.8312
_cell_length_b 3.8337
_cell_length_c 4.7494
_cell_angle_alpha 113.80
_cell_angle_beta 113.79
_cell_angle_gamma 90.00
loop_
_atom_site_label
_atom_site_fract_x
_atom_site_fract_y
_atom_site_fract_z
Fe1 0.0000 0.0000 0.0001
Fe2 0.7500 0.2500 0.4999
Pt1 0.5000 0.5000 0.0000
Sb1 0.2500 0.7500 0.5000


Entry 2:
# PBEsol SiMoPO2, relaxed
# E_tot = -7.519 eV/atom
# space group = P4/mmm
data_SiMoPO2
_symmetry_space_group_name_H-M 'P 1'
_symmetry_Int_Tables_number 1
_symmetry_space_group_name_Hall 'P 1'
_cell_length_a 3.7593
_cell_length_b 3.7593
_cell_length_c 5.0723
_cell_angle_alpha 90.00
_cell_angle_beta 90.00
_cell_angle_gamma 90.00
loop_
_atom_site_label
_atom_site_fract_x
_atom_site_fract_y
_atom_site_fract_z
P1 0.0000 0.0000 0.5000
Mo1 0.0000 0.0000 0.0000
Si1 0.5000 0.5000 0.5000
O1 0.0000 0.5000 0.0000
O2 0.5000 0.0000 0.0000


Entry 3:
# PBEsol BaCu3Bi, relaxed
# space group = Pm-3m
# energy of formation = 6.98 eV/f.u.
data_BaCu3Bi
_symmetry_space_group_name_H-M 'P 1'
_symmetry_Int_Tables_number 1
_symmetry_space_group_name_Hall 'P 1'
_cell_length_a 5.1803
_cell_length_b 5.1803
_cell_length_c 5.1803
_cell_angle_alpha 90.00
_cell_angle_beta 90.00
_cell_angle_gamma 90.00
loop_
_atom_site_label
_atom_site_fract_x
_atom_site_fract_y
_atom_site_fract_z
Bi1 0.5000 0.5000 0.5000
Cu1 0.0000 0.5000 0.0000
Cu2 0.0000 0.0000 0.5000
Cu3 0.5000 0.0000 0.0000
Ba1 0.0000 0.0000 0.0000


Entry 4:
# PBEsol Cs2NaAu3C6N6, relaxed
# E_tot = -6.923 eV/atom
# space group = P6_3/mmc
data_Cs2NaAu3C6N6
_symmetry_space_group_name_H-M 'P 1'
_symmetry_Int_Tables_number 1
_symmetry_space_group_name_Hall 'P 1'
_cell_length_a 6.8777
_cell_length_b 6.8777
_cell_length_c 18.3589
_cell_angle_alpha 90.00
_cell_angle_beta 90.00
_cell_angle_gamma 120.00
loop_
_atom_site_label
_atom_site_fract_x
_atom_site_fract_y
_atom_site_fract_z
Cs1 0.6667 0.3333 0.0564
Cs2 0.3333 0.6667 0.9436
Cs3 0.6667 0.3333 0.4436
Cs4 0.3333 0.6667 0.5564
Na1 0.0000 0.0000 0.0000
Na2 0.0000 0.0000 0.5000
Au1 0.1741 0.3482 0.2500
Au2 0.8259 0.1741 0.7500
Au3 0.1741 0.8259 0.2500
Au4 0.3482 0.1741 0.7500
Au5 0.6518 0.8259 0.2500
Au6 0.8259 0.6518 0.7500
C1 0.3402 0.1701 0.8569
C2 0.8299 0.6598 0.6431
C3 0.8299 0.1701 0.8569
C4 0.1701 0.8299 0.3569
C5 0.6598 0.8299 0.1431
C6 0.1701 0.3402 0.1431
C7 0.6598 0.8299 0.3569
C8 0.1701 0.8299 0.1431
C9 0.8299 0.1701 0.6431
C10 0.8299 0.6598 0.8569
C11 0.3402 0.1701 0.6431
C12 0.1701 0.3402 0.3569
N1 0.3302 0.1651 0.9207
N2 0.6698 0.8349 0.4207
N3 0.8349 0.6698 0.9207
N4 0.8349 0.1651 0.5793
N5 0.1651 0.3302 0.0793
N6 0.8349 0.1651 0.9207
N7 0.8349 0.6698 0.5793
N8 0.1651 0.8349 0.0793
N9 0.1651 0.3302 0.4207
N10 0.6698 0.8349 0.0793
N11 0.1651 0.8349 0.4207
N12 0.3302 0.1651 0.5793


Entry 5:
# PBEsol CrReTc, relaxed
# space group = I4mm
# energy of formation = 0.35 eV/f.u.
data_CrReTc
_symmetry_space_group_name_H-M 'P 1'
_symmetry_Int_Tables_number 1
_symmetry_space_group_name_Hall 'P 1'
_cell_length_a 2.9755
_cell_length_b 2.9755
_cell_length_c 4.9870
_cell_angle_alpha 107.36
_cell_angle_beta 107.36
_cell_angle_gamma 90.00
loop_
_atom_site_label
_atom_site_fract_x
_atom_site_fract_y
_atom_site_fract_z
Cr1 0.0030 0.0030 0.0060
Re1 0.6576 0.6576 0.3152
Tc1 0.3394 0.3394 0.6788


Entry 6:
# PBEsol CuAg2Pt, relaxed
# space group = P4mm
# energy of formation = -0.08 eV/f.u.
data_CuAg2Pt
_symmetry_space_group_name_H-M 'P 1'
_symmetry_Int_Tables_number 1
_symmetry_space_group_name_Hall 'P 1'
_cell_length_a 2.8162
_cell_length_b 2.8162
_cell_length_c 7.4836
_cell_angle_alpha 90.00
_cell_angle_beta 90.00
_cell_angle_gamma 90.00
loop_
_atom_site_label
_atom_site_fract_x
_atom_site_fract_y
_atom_site_fract_z
Cu1 0.0000 0.0000 0.5075
Ag1 0.0000 0.0000 0.9950
Ag2 0.5000 0.5000 0.2707
Pt1 0.5000 0.5000 0.7268


Entry 7:
# PBEsol SnRuI2N, relaxed
# E_tot = -5.071 eV/atom
# space group = P4/mmm
data_SnRuI2N
_symmetry_space_group_name_H-M 'P 1'
_symmetry_Int_Tables_number 1
_symmetry_space_group_name_Hall 'P 1'
_cell_length_a 3.6976
_cell_length_b 5.5870
_cell_length_c 5.5870
_cell_angle_alpha 90.00
_cell_angle_beta 90.00
_cell_angle_gamma 90.00
loop_
_atom_site_label
_atom_site_fract_x
_atom_site_fract_y
_atom_site_fract_z
I1 0.0000 0.0000 0.5000
I2 0.0000 0.5000 0.0000
Ru1 0.0000 0.0000 0.0000
Sn1 0.5000 0.5000 0.5000
N1 0.5000 0.0000 0.0000


Entry 8:
# PBEsol Y2FeSi2, relaxed
# E_tot = -7.603 eV/atom
# space group = C2/m
data_Y2FeSi2
_symmetry_space_group_name_H-M 'P 1'
_symmetry_Int_Tables_number 1
_symmetry_space_group_name_Hall 'P 1'
_cell_length_a 4.0918
_cell_length_b 5.5900
_cell_length_c 8.8437
_cell_angle_alpha 83.12
_cell_angle_beta 76.62
_cell_angle_gamma 68.53
loop_
_atom_site_label
_atom_site_fract_x
_atom_site_fract_y
_atom_site_fract_z
Y1 0.8112 0.2697 0.1078
Y2 0.0021 0.6681 0.3276
Y3 0.1888 0.7303 0.8922
Y4 0.9979 0.3319 0.6724
Si1 0.5013 0.1253 0.8720
Si2 0.3435 0.7486 0.5645
Si3 0.4987 0.8747 0.1280
Si4 0.6565 0.2514 0.4355
Fe1 0.7277 0.9214 0.6233
Fe2 0.2723 0.0786 0.3767


Entry 9:
# PBEsol CuHgMo2, relaxed
# space group = P4/mmm
# energy of formation = 1.83 eV/f.u.
data_CuHgMo2
_symmetry_space_group_name_H-M 'P 1'
_symmetry_Int_Tables_number 1
_symmetry_space_group_name_Hall 'P 1'
_cell_length_a 3.3382
_cell_length_b 3.3382
_cell_length_c 5.6558
_cell_angle_alpha 90.00
_cell_angle_beta 90.00
_cell_angle_gamma 90.00
loop_
_atom_site_label
_atom_site_fract_x
_atom_site_fract_y
_atom_site_fract_z
Cu1 0.5000 0.5000 0.0000
Hg1 0.5000 0.5000 0.5000
Mo1 0.0000 0.0000 0.7987
Mo2 0.0000 0.0000 0.2013


Entry 10:
# PBEsol In3OsBr, relaxed
# E_tot = -2.957 eV/atom
# space group = Pm-3m
data_In3OsBr
_symmetry_space_group_name_H-M 'P 1'
_symmetry_Int_Tables_number 1
_symmetry_space_group_name_Hall 'P 1'
_cell_length_a 5.3714
_cell_length_b 5.3714
_cell_length_c 5.3714
_cell_angle_alpha 90.00
_cell_angle_beta 90.00
_cell_angle_gamma 90.00
loop_
_atom_site_label
_atom_site_fract_x
_atom_site_fract_y
_atom_site_fract_z
Os1 0.5000 0.5000 0.5000
Br1 0.0000 0.0000 0.0000
In1 0.0000 0.5000 0.0000
In2 0.0000 0.0000 0.5000
In3 0.5000 0.0000 0.0000


Entry 11:
# PBEsol K2AlHg, relaxed
# space group = I-42d
# energy of formation = 1.13 eV/f.u.
data_K2AlHg
_symmetry_space_group_name_H-M 'P 1'
_symmetry_Int_Tables_number 1
_symmetry_space_group_name_Hall 'P 1'
_cell_length_a 6.1015
_cell_length_b 7.3394
_cell_length_c 7.3394
_cell_angle_alpha 80.05
_cell_angle_beta 65.44
_cell_angle_gamma 65.44
loop_
_atom_site_label
_atom_site_fract_x
_atom_site_fract_y
_atom_site_fract_z
K1 0.8750 0.0244 0.4756
K2 0.3750 0.9756 0.5244
K3 0.6494 0.4756 0.9756
K4 0.1006 0.5244 0.0244
Hg1 0.0000 0.0000 0.0000
Hg2 0.7500 0.5000 0.5000
Al1 0.5000 0.0000 0.0000
Al2 0.2500 0.5000 0.5000


Entry 12:
# PBEsol K2AsRh, relaxed
# space group = Cm
# energy of formation = -0.79 eV/f.u.
data_K2AsRh
_symmetry_space_group_name_H-M 'P 1'
_symmetry_Int_Tables_number 1
_symmetry_space_group_name_Hall 'P 1'
_cell_length_a 4.1291
_cell_length_b 4.1307
_cell_length_c 9.5087
_cell_angle_alpha 101.52
_cell_angle_beta 90.00
_cell_angle_gamma 119.99
loop_
_atom_site_label
_atom_site_fract_x
_atom_site_fract_y
_atom_site_fract_z
As1 0.7915 0.5831 0.3750
K1 0.0464 0.0927 0.1174
K2 0.2039 0.4078 0.6327
Rh1 0.4582 0.9164 0.3749